--- a ---
DFT (GGA-PBEsol) results for an optimized crystal structure of LiRhCl.

As for the mass density: 5.37 g/cm3.

The space group is Fmm2 (No. 42) and the conventional cell measures 3.0226, 5.1271 and 11.5929 Å, with angles of 90.00, 90.00 and 90.00 degrees. The distinct sites, in fractional coordinates, are Li at (0.0000, 0.0000, 0.0000), Rh at (0.0000, 0.0000, 0.3146) and Cl at (0.0000, 0.0000, 0.6516).



--- b ---
DFT (GGA-PBEsol) results for an optimized crystal structure of LiRhCl.

As for the mass density: 5.53 g/cm3.

The space group is P-6m2 (No. 187) and the conventional cell measures 4.0445, 4.0445 and 3.0823 Å, with angles of 90.00, 90.00 and 120.00 degrees. The distinct sites, in fractional coordinates, are Li at (0.0000, 0.0000, 0.0000), Rh at (0.6667, 0.3333, 0.5000) and Cl at (0.3333, 0.6667, 0.5000).



--- c ---
DFT (GGA-PBEsol) results for an optimized crystal structure of LiRhCl.

As for the mass density: 5.19 g/cm3.

The space group is F-43m (No. 216) and the conventional cell measures 5.7094, 5.7094 and 5.7094 Å, with angles of 90.00, 90.00 and 90.00 degrees. The distinct sites, in fractional coordinates, are Li at (0.0000, 0.0000, 0.0000), Rh at (0.2500, 0.2500, 0.2500) and Cl at (0.0000, 0.0000, 0.5000).



Most favorable first, least favorable last: b, a, c



--- a ---
DFT (GGA-PBEsol) results for an optimized crystal structure of Li2SbCl.

As for the mass density: 3.85 g/cm3.

The space group is P-6m2 (No. 187) and the conventional cell measures 3.3612, 3.3612 and 7.5444 Å, with angles of 90.00, 90.00 and 120.00 degrees. The distinct sites, in fractional coordinates, are Li at (0.0000, 0.0000, 0.1984), Sb at (0.6667, 0.3333, 0.5000) and Cl at (0.3333, 0.6667, 0.0000).



--- b ---
DFT (GGA-PBEsol) results for an optimized crystal structure of Li2SbCl.

As for the mass density: 3.62 g/cm3.

The space group is C2/m (No. 12) and the conventional cell measures 6.3776, 7.7399 and 3.1795 Å, with angles of 90.00, 90.22 and 90.00 degrees. The distinct sites, in fractional coordinates, are Li at (0.2500, 0.2500, 0.0000), Sb at (0.0000, 0.0000, 0.5000) and Cl at (0.0000, 0.5000, 0.5000).



Most favorable first, least favorable last: a, b



--- a ---
DFT (GGA-PBEsol) results for an optimized crystal structure of LiScCl2.

As for the mass density: 3.10 g/cm3.

The space group is P4/mmm (No. 123) and the conventional cell measures 3.2267, 3.2267 and 6.3128 Å, with angles of 90.00, 90.00 and 90.00 degrees. The distinct sites, in fractional coordinates, are Li at (0.0000, 0.0000, 0.0000), Sc at (0.0000, 0.0000, 0.5000) and Cl at (0.5000, 0.5000, 0.2648).



--- b ---
DFT (GGA-PBEsol) results for an optimized crystal structure of LiScCl2.

As for the mass density: 2.58 g/cm3.

The space group is F-43m (No. 216) and the conventional cell measures 6.8102, 6.8102 and 6.8102 Å, with angles of 90.00, 90.00 and 90.00 degrees. The distinct sites, in fractional coordinates, are Li at (0.0000, 0.0000, 0.0000), Sc at (0.2500, 0.2500, 0.7500), Cl at (0.0000, 0.0000, 0.5000) and Cl at (0.2500, 0.2500, 0.2500).



Most favorable first, least favorable last: a, b



--- a ---
DFT (GGA-PBEsol) results for an optimized crystal structure of LiSn3Cl.

As for the mass density: 5.25 g/cm3.

The space group is Pm-3m (No. 221) and the conventional cell measures 5.0131, 5.0131 and 5.0131 Å, with angles of 90.00, 90.00 and 90.00 degrees. The distinct sites, in fractional coordinates, are Li at (0.0000, 0.0000, 0.0000), Sn at (0.0000, 0.0000, 0.5000) and Cl at (0.5000, 0.5000, 0.5000).



--- b ---
DFT (GGA-PBEsol) results for an optimized crystal structure of LiSn3Cl.

As for the mass density: 4.32 g/cm3.

The space group is Pm-3m (No. 221) and the conventional cell measures 5.3489, 5.3489 and 5.3489 Å, with angles of 90.00, 90.00 and 90.00 degrees. The distinct sites, in fractional coordinates, are Li at (0.0000, 0.0000, 0.0000), Sn at (0.0000, 0.5000, 0.5000) and Cl at (0.5000, 0.5000, 0.5000).



Most favorable first, least favorable last: a, b



--- a ---
DFT (GGA-PBEsol) results for an optimized crystal structure of LiSnCl3.

As for the mass density: 3.21 g/cm3.

The space group is R3c (No. 161, hexagonal axes) and the conventional cell measures 6.8401, 6.8401 and 17.7664 Å, with angles of 90.00, 90.00 and 120.00 degrees. The distinct sites, in fractional coordinates, are Li at (0.0000, 0.0000, 0.0000), Sn at (0.0000, 0.0000, 0.1966) and Cl at (0.0127, 0.4125, 0.2633).



--- b ---
DFT (GGA-PBEsol) results for an optimized crystal structure of LiSnCl3.

As for the mass density: 3.05 g/cm3.

The space group is R3m (No. 160, hexagonal axes) and the conventional cell measures 6.9195, 6.9195 and 9.1243 Å, with angles of 90.00, 90.00 and 120.00 degrees. The distinct sites, in fractional coordinates, are Li at (0.0000, 0.0000, 0.0000), Sn at (0.0000, 0.0000, 0.6296) and Cl at (0.0083, 0.5042, 0.4796).



Most favorable first, least favorable last: a, b



--- a ---
DFT (GGA-PBEsol) results for an optimized crystal structure of Li3SnCl.

As for the mass density: 1.97 g/cm3.

The space group is Pm-3m (No. 221) and the conventional cell measures 5.2815, 5.2815 and 5.2815 Å, with angles of 90.00, 90.00 and 90.00 degrees. The distinct sites, in fractional coordinates, are Li at (0.0000, 0.0000, 0.5000), Sn at (0.0000, 0.0000, 0.0000) and Cl at (0.5000, 0.5000, 0.5000).



--- b ---
DFT (GGA-PBEsol) results for an optimized crystal structure of Li3SnCl.

As for the mass density: 2.99 g/cm3.

The space group is Pm-3m (No. 221) and the conventional cell measures 4.5960, 4.5960 and 4.5960 Å, with angles of 90.00, 90.00 and 90.00 degrees. The distinct sites, in fractional coordinates, are Li at (0.0000, 0.0000, 0.5000), Sn at (0.5000, 0.5000, 0.5000) and Cl at (0.0000, 0.0000, 0.0000).



Most favorable first, least favorable last: b, a



--- a ---
DFT (GGA-PBEsol) results for an optimized crystal structure of LiTaCl2.

As for the mass density: 6.54 g/cm3.

The space group is C2/m (No. 12) and the conventional cell measures 7.8520, 3.0365 and 5.5337 Å, with angles of 90.00, 95.27 and 90.00 degrees. The distinct sites, in fractional coordinates, are Li at (0.0000, 0.0000, 0.0000), Ta at (0.0000, 0.5000, 0.5000) and Cl at (0.2232, 0.0000, 0.7210).



--- b ---
DFT (GGA-PBEsol) results for an optimized crystal structure of LiTaCl2.

As for the mass density: 6.32 g/cm3.

The space group is Cmm2 (No. 35) and the conventional cell measures 4.3561, 4.3635 and 7.1576 Å, with angles of 90.00, 90.00 and 90.00 degrees. The distinct sites, in fractional coordinates, are Li at (0.0000, 0.0000, 0.0000), Ta at (0.0000, 0.5000, 0.2771), Cl at (0.0000, 0.0000, 0.4961) and Cl at (0.0000, 0.5000, 0.9251).



Most favorable first, least favorable last: b, a



--- a ---
DFT (GGA-PBEsol) results for an optimized crystal structure of LiTcCl2.

As for the mass density: 4.03 g/cm3.

The space group is F-43m (No. 216) and the conventional cell measures 6.6193, 6.6193 and 6.6193 Å, with angles of 90.00, 90.00 and 90.00 degrees. The distinct sites, in fractional coordinates, are Li at (0.0000, 0.0000, 0.0000), Tc at (0.2500, 0.2500, 0.7500), Cl at (0.0000, 0.0000, 0.5000) and Cl at (0.2500, 0.2500, 0.2500).



--- b ---
DFT (GGA-PBEsol) results for an optimized crystal structure of LiTcCl2.

As for the mass density: 4.38 g/cm3.

The space group is Cm (No. 8) and the conventional cell measures 14.1342, 3.0691 and 3.0706 Å, with angles of 90.00, 90.80 and 90.00 degrees. The distinct sites, in fractional coordinates, are Li at (0.0000, 0.0000, 0.0000), Tc at (0.3629, 0.0000, 0.4908), Cl at (0.0437, 0.5000, 0.5025) and Cl at (0.2829, 0.5000, 0.9855).



Most favorable first, least favorable last: b, a



--- a ---
DFT (GGA-PBEsol) results for an optimized crystal structure of LiTcCl2.

As for the mass density: 3.92 g/cm3.

The space group is I-4m2 (No. 119) and the conventional cell measures 3.4361, 3.4361 and 12.6192 Å, with angles of 90.00, 90.00 and 90.00 degrees. The distinct sites, in fractional coordinates, are Li at (0.0000, 0.0000, 0.0000), Tc at (0.0000, 0.5000, 0.2500), Cl at (0.0000, 0.0000, 0.5000) and Cl at (0.0000, 0.5000, 0.7500).



--- b ---
DFT (GGA-PBEsol) results for an optimized crystal structure of LiTcCl2.

As for the mass density: 4.49 g/cm3.

The space group is P2/m (No. 10) and the conventional cell measures 2.9565, 3.7268 and 6.0004 Å, with angles of 90.00, 100.70 and 90.00 degrees. The distinct sites, in fractional coordinates, are Li at (0.0000, 0.0000, 0.0000), Tc at (0.5000, 0.0000, 0.5000) and Cl at (0.4059, 0.5000, 0.2510).



Most favorable first, least favorable last: b, a



--- a ---
DFT (GGA-PBEsol) results for an optimized crystal structure of LiTeCl.

As for the mass density: 3.19 g/cm3.

The space group is F-43m (No. 216) and the conventional cell measures 7.0733, 7.0733 and 7.0733 Å, with angles of 90.00, 90.00 and 90.00 degrees. The distinct sites, in fractional coordinates, are Li at (0.0000, 0.0000, 0.0000), Te at (0.2500, 0.2500, 0.2500) and Cl at (0.0000, 0.0000, 0.5000).



--- b ---
DFT (GGA-PBEsol) results for an optimized crystal structure of LiTeCl.

As for the mass density: 3.99 g/cm3.

The space group is F-43m (No. 216) and the conventional cell measures 6.5667, 6.5667 and 6.5667 Å, with angles of 90.00, 90.00 and 90.00 degrees. The distinct sites, in fractional coordinates, are Li at (0.0000, 0.0000, 0.0000), Te at (0.2500, 0.2500, 0.2500) and Cl at (0.2500, 0.2500, 0.7500).



Most favorable first, least favorable last: b, a



--- a ---
DFT (GGA-PBEsol) results for an optimized crystal structure of LiWCl2.

As for the mass density: 6.99 g/cm3.

The space group is R-3m (No. 166, hexagonal axes) and the conventional cell measures 3.0340, 3.0340 and 23.3824 Å, with angles of 90.00, 90.00 and 120.00 degrees. The distinct sites, in fractional coordinates, are Li at (0.0000, 0.0000, 0.0000), W at (0.0000, 0.0000, 0.5000) and Cl at (0.0000, 0.0000, 0.3998).



--- b ---
DFT (GGA-PBEsol) results for an optimized crystal structure of LiWCl2.

As for the mass density: 7.03 g/cm3.

The space group is C2/m (No. 12) and the conventional cell measures 7.6112, 2.9975 and 5.4890 Å, with angles of 90.00, 99.19 and 90.00 degrees. The distinct sites, in fractional coordinates, are Li at (0.0000, 0.0000, 0.0000), W at (0.0000, 0.5000, 0.5000) and Cl at (0.2331, 0.0000, 0.7244).



Most favorable first, least favorable last: a, b



--- a ---
DFT (GGA-PBEsol) results for an optimized crystal structure of Li2WCl.

As for the mass density: 5.90 g/cm3.

The space group is Imm2 (No. 44) and the conventional cell measures 2.7968, 2.8087 and 16.7058 Å, with angles of 90.00, 90.00 and 90.00 degrees. The distinct sites, in fractional coordinates, are Li at (0.0000, 0.0000, 0.0000), Li at (0.0000, 0.5000, 0.1673), W at (0.0000, 0.0000, 0.3751) and Cl at (0.0000, 0.5000, 0.7457).



--- b ---
DFT (GGA-PBEsol) results for an optimized crystal structure of Li2WCl.

As for the mass density: 6.08 g/cm3.

The space group is Pm (No. 6) and the conventional cell measures 2.7318, 4.4863 and 5.1960 Å, with angles of 90.00, 90.18 and 90.00 degrees. The distinct sites, in fractional coordinates, are Li at (0.0000, 0.0000, 0.0000), Li at (0.0047, 0.5000, 0.7268), W at (0.5027, 0.5000, 0.2220) and Cl at (0.5037, 0.0000, 0.3858).



Most favorable first, least favorable last: a, b



--- a ---
DFT (GGA-PBEsol) results for an optimized crystal structure of LiYCl.

As for the mass density: 3.26 g/cm3.

The space group is I4mm (No. 107) and the conventional cell measures 3.2691, 3.2691 and 12.5270 Å, with angles of 90.00, 90.00 and 90.00 degrees. The distinct sites, in fractional coordinates, are Li at (0.0000, 0.0000, 0.0000), Y at (0.0000, 0.0000, 0.7027) and Cl at (0.0000, 0.0000, 0.3425).



--- b ---
DFT (GGA-PBEsol) results for an optimized crystal structure of LiYCl.

As for the mass density: 3.11 g/cm3.

The space group is Fmm2 (No. 42) and the conventional cell measures 3.4914, 5.9605 and 13.4815 Å, with angles of 90.00, 90.00 and 90.00 degrees. The distinct sites, in fractional coordinates, are Li at (0.0000, 0.0000, 0.0000), Y at (0.0000, 0.0000, 0.2900) and Cl at (0.0000, 0.0000, 0.6278).



Most favorable first, least favorable last: b, a



--- a ---
DFT (GGA-PBEsol) results for an optimized crystal structure of Mg2NiCl.

As for the mass density: 3.48 g/cm3.

The space group is C2/m (No. 12) and the conventional cell measures 5.6024, 3.1841 and 7.8649 Å, with angles of 90.00, 104.11 and 90.00 degrees. The distinct sites, in fractional coordinates, are Mg at (0.2500, 0.0000, 0.2331), Ni at (0.0000, 0.5000, 0.0000) and Cl at (0.0000, 0.0000, 0.5000).



--- b ---
DFT (GGA-PBEsol) results for an optimized crystal structure of Mg2NiCl.

As for the mass density: 3.58 g/cm3.

The space group is P4/mmm (No. 123) and the conventional cell measures 4.7187, 4.7187 and 2.9718 Å, with angles of 90.00, 90.00 and 90.00 degrees. The distinct sites, in fractional coordinates, are Mg at (0.0000, 0.5000, 0.0000), Ni at (0.0000, 0.0000, 0.5000) and Cl at (0.5000, 0.5000, 0.5000).



Most favorable first, least favorable last: a, b



--- a ---
DFT (GGA-PBEsol) results for an optimized crystal structure of MgNiCl2.

As for the mass density: 3.43 g/cm3.

The space group is Pm (No. 6) and the conventional cell measures 3.4547, 3.6018 and 6.0943 Å, with angles of 90.00, 100.91 and 90.00 degrees. The distinct sites, in fractional coordinates, are Mg at (0.0000, 0.0000, 0.0000), Ni at (0.5438, 0.5000, 0.1354), Cl at (0.3154, 0.5000, 0.7830) and Cl at (0.6704, 0.0000, 0.3538).



--- b ---
DFT (GGA-PBEsol) results for an optimized crystal structure of MgNiCl2.

As for the mass density: 4.19 g/cm3.

The space group is Fm-3m (No. 225) and the conventional cell measures 6.2486, 6.2486 and 6.2486 Å, with angles of 90.00, 90.00 and 90.00 degrees. The distinct sites, in fractional coordinates, are Mg at (0.0000, 0.0000, 0.0000), Ni at (0.0000, 0.0000, 0.5000) and Cl at (0.2500, 0.2500, 0.2500).



Most favorable first, least favorable last: a, b